No. 1
# TlCrAg2Cl8 PBE-GGA optimized geometry
data_TlCrAg2Cl8
_chemical_formula_sum 'Tl1 Cr1 Ag2 Cl8'
_cell_length_a 6.196
_cell_length_b 6.438
_cell_length_c 7.739
_cell_angle_alpha 89.97
_cell_angle_beta 89.95
_cell_angle_gamma 84.05
_space_group_name_H-M_alt 'P 1'
_space_group_IT_number 1
_space_group_name_Hall 'P 1'
loop_
_atom_site_label
_atom_site_type_symbol
_atom_site_fract_x
_atom_site_fract_y
_atom_site_fract_z
Tl1 Tl 0.000 0.000 0.000
Cr1 Cr 0.000 0.000 0.500
Ag1 Ag 0.499 0.499 0.262
Ag2 Ag 0.501 0.501 0.738
Cl1 Cl 0.207 0.144 0.717
Cl2 Cl 0.208 0.144 0.282
Cl3 Cl 0.245 0.690 0.500
Cl4 Cl 0.268 0.663 0.000
Cl5 Cl 0.732 0.337 0.000
Cl6 Cl 0.755 0.310 0.500
Cl7 Cl 0.792 0.856 0.718
Cl8 Cl 0.793 0.856 0.283
# - final energy (eV/atom) = -3.421

No. 2
# Ho4C PBE-GGA optimized geometry
data_Ho4C
_chemical_formula_sum 'Ho4 C1'
_cell_length_a 5.021
_cell_length_b 5.021
_cell_length_c 5.021
_cell_angle_alpha 90.00
_cell_angle_beta 90.00
_cell_angle_gamma 90.00
_space_group_name_H-M_alt 'P 1'
_space_group_IT_number 1
_space_group_name_Hall 'P 1'
loop_
_atom_site_label
_atom_site_type_symbol
_atom_site_fract_x
_atom_site_fract_y
_atom_site_fract_z
Ho1 Ho 0.000 0.000 0.000
Ho2 Ho 0.000 0.500 0.500
Ho3 Ho 0.500 0.000 0.500
Ho4 Ho 0.500 0.500 0.000
C1 C 0.500 0.500 0.500
# - energy relative to the elements (meV per atom) = -23

No. 3
# NbRuPtRh PBE-GGA optimized geometry
data_NbRuPtRh
_chemical_formula_sum 'Nb1 Ru1 Pt1 Rh1'
_cell_length_a 3.852
_cell_length_b 3.919
_cell_length_c 4.016
_cell_angle_alpha 90.00
_cell_angle_beta 90.00
_cell_angle_gamma 90.00
_space_group_name_H-M_alt 'P 1'
_space_group_IT_number 1
_space_group_name_Hall 'P 1'
loop_
_atom_site_label
_atom_site_type_symbol
_atom_site_fract_x
_atom_site_fract_y
_atom_site_fract_z
Nb1 Nb 0.000 0.000 0.000
Ru1 Ru 0.500 0.500 0.000
Pt1 Pt 0.000 0.500 0.500
Rh1 Rh 0.500 0.000 0.500
# - energy relative to the elements (meV per atom) = -499

No. 4
# H2S PBE-GGA optimized geometry
data_H2S
_chemical_formula_sum 'H8 S4'
_cell_length_a 5.289
_cell_length_b 5.987
_cell_length_c 6.622
_cell_angle_alpha 85.14
_cell_angle_beta 89.06
_cell_angle_gamma 87.88
_space_group_name_H-M_alt 'P 1'
_space_group_IT_number 1
_space_group_name_Hall 'P 1'
loop_
_atom_site_label
_atom_site_type_symbol
_atom_site_fract_x
_atom_site_fract_y
_atom_site_fract_z
H1 H 0.000 0.000 0.000
H2 H 0.014 0.674 0.702
H3 H 0.203 0.008 0.489
H4 H 0.388 0.438 0.351
H5 H 0.496 0.859 0.631
H6 H 0.545 0.656 0.154
H7 H 0.722 0.155 0.141
H8 H 0.891 0.534 0.471
S1 S 0.327 0.029 0.664
S2 S 0.382 0.486 0.148
S3 S 0.845 0.515 0.673
S4 S 0.876 0.970 0.180
# - final energy (eV/atom) = -3.782

For reference, M_tot by record: 2.85; 0.00; 0.00; 0.00 Bohr magnetons per cell.